MnHF3 | the Alexandria database | GGA+U | relaxed; energy = -0.17527 Ha/atom; offset from the most stable computed form = 633 meV per atom; density of states at the Fermi level = 3.18 states/eV/f.u.
1.0
-3.4818 1.7769 0.5368
-1.5766 -3.4332 1.1386
0.9798 0.7903 3.7395
H Mn F
1 1 3
Direct
0.5000 0.5000 0.5000 H
0.0000 0.0000 0.0000 Mn
0.0000 0.5000 0.0000 F
0.0000 0.0000 0.5000 F
0.5000 0.0000 0.0000 F